[1]
The following is a DFT calculation (PBE) of a geometry-optimized HfZnHg structure.

a = 3.2930 Å, b = 3.2930 Å, c = 10.2939 Å
α = 90.00°, β = 90.00°, γ = 90.00°
Element x y z (fractional)
Hf: 0.0000 0.0000 0.0000
Hf: 0.5000 0.5000 0.5000
Zn: 0.0000 0.0000 0.3389
Zn: 0.0000 0.0000 0.6611
Hg: 0.5000 0.5000 0.1839
Hg: 0.5000 0.5000 0.8161

Total magnetization: 0.00 μB/cell
Symmetry: P4/mmm, No. 123
Energy of formation from the pure elements: 0.07 eV/f.u.
Polymorph energy (0 for the lowest one): 10 meV per atom
Mass density: 13.2 g/cm³

---

[2]
The following is a DFT calculation (PBE) of a geometry-optimized DyY2Ge4Pt4 structure.

a = 8.0870 Å, b = 8.0870 Å, c = 8.0870 Å
α = 149.93°, β = 127.63°, γ = 61.58°
Element x y z (fractional)
Dy: 0.0000 0.0000 0.0000
Y: 0.3748 0.8748 0.5000
Y: 0.6252 0.1252 0.5000
Ge: 0.2185 0.2185 0.0000
Ge: 0.3112 0.5000 0.8112
Ge: 0.6888 0.5000 0.1888
Ge: 0.7815 0.7815 0.0000
Pt: 0.0285 0.3259 0.7026
Pt: 0.3767 0.6741 0.7026
Pt: 0.6233 0.3259 0.2974
Pt: 0.9715 0.6741 0.2974

VASP energy: -6.46 eV per atom
Total magnetization: 0.00 μB/cell
Symmetry: Immm, No. 71
Mass density: 11.3 g/cm³

---

[3]
The following is a DFT calculation (PBE) of a geometry-optimized CdFePtPb structure.

a = 6.6686 Å, b = 6.6686 Å, c = 6.6686 Å
α = 90.00°, β = 90.00°, γ = 90.00°
Element x y z (fractional)
Cd: 0.0000 0.0000 0.0000
Cd: 0.0000 0.5000 0.5000
Cd: 0.5000 0.0000 0.5000
Cd: 0.5000 0.5000 0.0000
Fe: 0.2500 0.2500 0.7500
Fe: 0.2500 0.7500 0.2500
Fe: 0.7500 0.2500 0.2500
Fe: 0.7500 0.7500 0.7500
Pt: 0.2500 0.2500 0.2500
Pt: 0.2500 0.7500 0.7500
Pt: 0.7500 0.2500 0.7500
Pt: 0.7500 0.7500 0.2500
Pb: 0.0000 0.0000 0.5000
Pb: 0.0000 0.5000 0.0000
Pb: 0.5000 0.0000 0.0000
Pb: 0.5000 0.5000 0.5000

Total magnetization: 10.56 μB/cell
Symmetry: F-43m, No. 216
Polymorph energy (0 for the lowest one): 0 meV per atom
Mass density: 12.8 g/cm³

---

[4]
The following is a DFT calculation (PBE) of a geometry-optimized ZrNbPt structure.

a = 6.3698 Å, b = 6.3698 Å, c = 6.3698 Å
α = 90.00°, β = 90.00°, γ = 90.00°
Element x y z (fractional)
Zr: 0.0000 0.0000 0.0000
Zr: 0.0000 0.5000 0.5000
Zr: 0.5000 0.0000 0.5000
Zr: 0.5000 0.5000 0.0000
Nb: 0.0000 0.0000 0.5000
Nb: 0.0000 0.5000 0.0000
Nb: 0.5000 0.0000 0.0000
Nb: 0.5000 0.5000 0.5000
Pt: 0.2500 0.2500 0.7500
Pt: 0.2500 0.7500 0.2500
Pt: 0.7500 0.2500 0.2500
Pt: 0.7500 0.7500 0.7500

Total magnetization: 0.17 μB/cell
Symmetry: F-43m, No. 216
Energy of formation from the pure elements: -0.49 eV/f.u.
Polymorph energy (0 for the lowest one): 0 meV per atom
Mass density: 9.7 g/cm³

---

[5]
The following is a DFT calculation (PBE) of a geometry-optimized Ho2In8Pd structure.

a = 4.6764 Å, b = 4.6764 Å, c = 12.0873 Å
α = 90.00°, β = 90.00°, γ = 90.00°
Element x y z (fractional)
Ho: 0.0000 0.0000 0.1877
Ho: 0.0000 0.0000 0.8123
In: 0.0000 0.5000 0.0000
In: 0.0000 0.5000 0.3725
In: 0.0000 0.5000 0.6275
In: 0.5000 0.0000 0.0000
In: 0.5000 0.0000 0.3725
In: 0.5000 0.0000 0.6275
In: 0.5000 0.5000 0.1906
In: 0.5000 0.5000 0.8094
Pd: 0.0000 0.0000 0.5000

VASP energy: -3.69 eV per atom
Total magnetization: 0.00 μB/cell
Symmetry: P4/mmm, No. 123
Mass density: 8.5 g/cm³

---

[6]
The following is a DFT calculation (PBE) of a geometry-optimized Li2Tb2Si3 structure.

a = 9.2632 Å, b = 9.2632 Å, c = 6.6587 Å
α = 90.00°, β = 90.00°, γ = 153.32°
Element x y z (fractional)
Li: 0.1896 0.8104 0.5610
Li: 0.1896 0.8104 0.9390
Li: 0.8104 0.1896 0.0610
Li: 0.8104 0.1896 0.4390
Tb: 0.3431 0.6569 0.7500
Tb: 0.4482 0.5518 0.2500
Tb: 0.5518 0.4482 0.7500
Tb: 0.6569 0.3431 0.2500
Si: 0.0595 0.9405 0.0719
Si: 0.0595 0.9405 0.4281
Si: 0.2796 0.7204 0.2500
Si: 0.7204 0.2796 0.7500
Si: 0.9405 0.0595 0.5719
Si: 0.9405 0.0595 0.9281

VASP energy: -4.81 eV per atom
Total magnetization: 0.02 μB/cell
Symmetry: Cmcm, No. 63
Mass density: 5.4 g/cm³

---

[7]
The following is a DFT calculation (PBE) of a geometry-optimized PmUPa structure.

a = 7.0784 Å, b = 7.0784 Å, c = 7.0784 Å
α = 90.00°, β = 90.00°, γ = 90.00°
Element x y z (fractional)
Pm: 0.0000 0.0000 0.0000
Pm: 0.0000 0.5000 0.5000
Pm: 0.5000 0.0000 0.5000
Pm: 0.5000 0.5000 0.0000
U: 0.2500 0.2500 0.7500
U: 0.2500 0.7500 0.2500
U: 0.7500 0.2500 0.2500
U: 0.7500 0.7500 0.7500
Pa: 0.0000 0.0000 0.5000
Pa: 0.0000 0.5000 0.0000
Pa: 0.5000 0.0000 0.0000
Pa: 0.5000 0.5000 0.5000

Total magnetization: 22.83 μB/cell
Symmetry: F-43m, No. 216
Energy of formation from the pure elements: 3.49 eV/f.u.
Polymorph energy (0 for the lowest one): 0 meV per atom
Mass density: 11.5 g/cm³

---

[8]
The following is a DFT calculation (PBE) of a geometry-optimized ScNbSnC structure.

a = 3.3094 Å, b = 3.3094 Å, c = 14.4255 Å
α = 90.00°, β = 90.00°, γ = 120.00°
Element x y z (fractional)
Sc: 0.3333 0.6667 0.0845
Sc: 0.6667 0.3333 0.9155
Nb: 0.3333 0.6667 0.4204
Nb: 0.6667 0.3333 0.5796
Sn: 0.3333 0.6667 0.7415
Sn: 0.6667 0.3333 0.2585
C: 0.0000 0.0000 0.0000
C: 0.0000 0.0000 0.5000

Total magnetization: 0.02 μB/cell
Symmetry: P-3m1, No. 164
Polymorph energy (0 for the lowest one): 50 meV per atom
Mass density: 6.5 g/cm³

---

- Which of these has the highest mass density?
  HfZnHg

---

- Among the records above, which one has the highest mass density?
  HfZnHg